1.
The following is a GGA-PBE calculation of Pa2GaCoC after structural relaxation, from Alexandria via LeMat-Bulk.

Calculated values
As for the total energy: -79.94 eV/cell. As for the space group: P2_1/m. The volume comes out at 18.07 A^3/atom. The mass density comes out at 11.079 g cm⁻³.

```
data_Pa2GaCoC
_chemical_formula_sum 'Pa4 Ga2 Co2 C2'
_cell_length_a 6.379
_cell_length_b 3.993
_cell_length_c 7.726
_cell_angle_alpha 90.00
_cell_angle_beta 113.33
_cell_angle_gamma 90.00
_symmetry_space_group_name_H-M 'P 1'
_symmetry_Int_Tables_number 1
loop_
_symmetry_equiv_pos_as_xyz
'x,y,z'
loop_
_atom_site_label
_atom_site_type_symbol
_atom_site_fract_x
_atom_site_fract_y
_atom_site_fract_z
_atom_site_occupancy
Pa1 Pa 0.228 0.250 0.484 1
Pa2 Pa 0.238 0.250 0.899 1
Pa3 Pa 0.762 0.750 0.101 1
Pa4 Pa 0.772 0.750 0.516 1
Ga1 Ga 0.278 0.750 0.209 1
Ga2 Ga 0.722 0.250 0.791 1
Co1 Co 0.490 0.750 0.772 1
Co2 Co 0.510 0.250 0.228 1
C1 C 0.162 0.750 0.679 1
C2 C 0.838 0.250 0.321 1
```

=====

2.
The following is a GGA-PBE calculation of RbP2SCl after structural relaxation, from Alexandria via LeMat-Bulk.

Calculated values
As for the total energy: -17.60 eV/cell. As for the space group: P4/mmm. The volume comes out at 33.07 A^3/atom. As for the formation energy from raw total energies: 0.032 eV per atom. The mass density comes out at 2.159 g cm⁻³. As for the energy above the lowest structure with this stoichiometry: 0.000 eV per atom.

```
data_RbP2SCl
_chemical_formula_sum 'Rb1 P2 S1 Cl1'
_cell_length_a 4.516
_cell_length_b 4.516
_cell_length_c 8.105
_cell_angle_alpha 90.00
_cell_angle_beta 90.00
_cell_angle_gamma 90.00
_symmetry_space_group_name_H-M 'P 1'
_symmetry_Int_Tables_number 1
loop_
_symmetry_equiv_pos_as_xyz
'x,y,z'
loop_
_atom_site_label
_atom_site_type_symbol
_atom_site_fract_x
_atom_site_fract_y
_atom_site_fract_z
_atom_site_occupancy
Rb1 Rb 0.000 0.000 0.000 1
P1 P 0.000 0.500 0.500 1
P2 P 0.500 0.000 0.500 1
S1 S 0.500 0.500 0.500 1
Cl1 Cl 0.500 0.500 0.000 1
```

=====

3.
The following is a GGA-PBE calculation of BaGaSnPb2 after structural relaxation, from Alexandria via LeMat-Bulk.

Calculated values
As for the total energy: -15.90 eV/cell. As for the space group: P4/mmm. The volume comes out at 42.92 A^3/atom. The mass density comes out at 5.727 g cm⁻³. As for the energy above the lowest structure with this stoichiometry: 0.000 eV per atom.

```
data_BaGaSnPb2
_chemical_formula_sum 'Ba1 Ga1 Sn1 Pb2'
_cell_length_a 6.289
_cell_length_b 6.289
_cell_length_c 5.426
_cell_angle_alpha 90.00
_cell_angle_beta 90.00
_cell_angle_gamma 90.00
_symmetry_space_group_name_H-M 'P 1'
_symmetry_Int_Tables_number 1
loop_
_symmetry_equiv_pos_as_xyz
'x,y,z'
loop_
_atom_site_label
_atom_site_type_symbol
_atom_site_fract_x
_atom_site_fract_y
_atom_site_fract_z
_atom_site_occupancy
Ba1 Ba 0.000 0.000 0.000 1
Ga1 Ga 0.500 0.500 0.000 1
Sn1 Sn 0.500 0.500 0.500 1
Pb1 Pb 0.000 0.500 0.500 1
Pb2 Pb 0.500 0.000 0.500 1
```

=====

4.
The following is a GGA-PBE calculation of BaCaIr after structural relaxation, from Alexandria via LeMat-Bulk.

Calculated values
As for the total energy: -12.99 eV/cell. As for the space group: I4mm. The volume comes out at 33.07 A^3/atom. The mass density comes out at 6.186 g cm⁻³. As for the energy above the lowest structure with this stoichiometry: 0.087 eV per atom.

```
data_BaCaIr
_chemical_formula_sum 'Ba1 Ca1 Ir1'
_cell_length_a 7.799
_cell_length_b 7.799
_cell_length_c 7.799
_cell_angle_alpha 152.76
_cell_angle_beta 152.76
_cell_angle_gamma 38.91
_symmetry_space_group_name_H-M 'P 1'
_symmetry_Int_Tables_number 1
loop_
_symmetry_equiv_pos_as_xyz
'x,y,z'
loop_
_atom_site_label
_atom_site_type_symbol
_atom_site_fract_x
_atom_site_fract_y
_atom_site_fract_z
_atom_site_occupancy
Ba1 Ba 0.000 0.000 0.000 1
Ca1 Ca 0.231 0.231 0.000 1
Ir1 Ir 0.629 0.629 0.000 1
```

=====

- Among the records above, which one has the highest mass density?
  Pa2GaCoC

=====

Repeat the first record exactly.
The following is a GGA-PBE calculation of Pa2GaCoC after structural relaxation, from Alexandria via LeMat-Bulk.

Calculated values
As for the total energy: -79.94 eV/cell. As for the space group: P2_1/m. The volume comes out at 18.07 A^3/atom. The mass density comes out at 11.079 g cm⁻³.

```
data_Pa2GaCoC
_chemical_formula_sum 'Pa4 Ga2 Co2 C2'
_cell_length_a 6.379
_cell_length_b 3.993
_cell_length_c 7.726
_cell_angle_alpha 90.00
_cell_angle_beta 113.33
_cell_angle_gamma 90.00
_symmetry_space_group_name_H-M 'P 1'
_symmetry_Int_Tables_number 1
loop_
_symmetry_equiv_pos_as_xyz
'x,y,z'
loop_
_atom_site_label
_atom_site_type_symbol
_atom_site_fract_x
_atom_site_fract_y
_atom_site_fract_z
_atom_site_occupancy
Pa1 Pa 0.228 0.250 0.484 1
Pa2 Pa 0.238 0.250 0.899 1
Pa3 Pa 0.762 0.750 0.101 1
Pa4 Pa 0.772 0.750 0.516 1
Ga1 Ga 0.278 0.750 0.209 1
Ga2 Ga 0.722 0.250 0.791 1
Co1 Co 0.490 0.750 0.772 1
Co2 Co 0.510 0.250 0.228 1
C1 C 0.162 0.750 0.679 1
C2 C 0.838 0.250 0.321 1
```

=====

- Look up the mass density of the first one.
  11.079 g cm⁻³